(1)
Density functional theory data (PBE) for a relaxed structure of ScZn2Cu.

Cell lengths 8.253, 8.253, 8.253 Å; angles 22.01, 22.01, 22.01 degrees
Fractional positions:
Sc  0.750  0.750  0.750
Cu  0.250  0.250  0.250
Zn  0.990  0.990  0.990
Zn  0.510  0.510  0.510

Computed properties:
M_tot	0.0	μB/f.u.
DOS(E_F)	2.35	states/eV/cell
space-group type	R-3m, No. 166
crystal system	trigonal
formation energy	0.01	eV/atom

=====

(2)
Density functional theory data (PBE) for a relaxed structure of Na2Pa2TlO7.

Cell lengths 4.420, 4.420, 10.549 Å; angles 102.09, 102.09, 90.00 degrees
Site moments in Bohr magnetons follow the coordinates.
Fractional positions:
O  0.892  0.391  0.783  0.05
O  0.608  0.108  0.217  0.05
O  0.500  0.500  0.000  0.06
O  0.289  0.289  0.579  0.08
O  0.392  0.892  0.783  0.05
O  0.108  0.609  0.217  0.05
O  0.711  0.711  0.421  0.08
Pa  0.609  0.609  0.218  0.04
Pa  0.391  0.391  0.782  0.04
Na  0.250  0.750  0.500  0.00
Na  0.750  0.250  0.500  0.00
Tl  0.000  0.000  0.000  0.02

Computed properties:
M_tot	0.6	μB/f.u.
formation energy (no corrections)	-2.5693	eV/atom
DOS(E_F)	13.00	states/eV/cell
space-group type	I4/mmm, No. 139
crystal system	tetragonal

=====

(3)
Density functional theory data (PBE) for a relaxed structure of Pr3Mg2Al.

Cell lengths 5.442, 5.442, 6.673 Å; angles 90.00, 90.00, 120.00 degrees
Fractional positions:
Pr  0.333  0.667  0.159
Pr  0.667  0.333  0.841
Pr  0.000  0.000  0.500
Mg  0.667  0.333  0.342
Mg  0.333  0.667  0.658
Al  0.000  0.000  0.000

Computed properties:
M_tot	0.0	μB/f.u.
DOS(E_F)	6.05	states/eV/cell
relative energy among the computed polymorphs	0	meV/atom
space-group type	P-3m1, No. 164
crystal system	trigonal
formation energy	-0.20	eV/atom

=====

(4)
Density functional theory data (PBE) for a relaxed structure of CsAl3V.

Cell lengths 5.164, 5.164, 5.164 Å; angles 90.00, 90.00, 90.00 degrees
Site moments in Bohr magnetons follow the coordinates.
Fractional positions:
Al  0.500  0.000  0.000  0.02
Al  0.000  0.500  0.000  0.02
Al  0.000  0.000  0.500  0.02
Cs  0.500  0.500  0.500  -0.03
V  0.000  0.000  0.000  2.20

Computed properties:
M_tot	2.8	μB/f.u.
DOS(E_F)	3.66	states/eV/cell
relative energy among the computed polymorphs	0	meV/atom
space-group type	Pm-3m, No. 221
crystal system	cubic
formation energy	0.50	eV/atom

=====

(5)
Density functional theory data (PBE) for a relaxed structure of YOs2W.

Cell lengths 5.330, 5.330, 5.330 Å; angles 136.83, 136.83, 62.70 degrees
Fractional positions:
Os  0.250  0.750  0.500
Os  0.000  0.000  0.000
W  0.500  0.500  0.000
Y  0.750  0.250  0.500

Computed properties:
M_tot	0.0	μB/f.u.
DOS(E_F)	5.19	states/eV/cell
relative energy among the computed polymorphs	476	meV/atom
space-group type	I-4m2, No. 119
crystal system	tetragonal
formation energy	0.50	eV/atom

=====

(6)
Density functional theory data (PBE) for a relaxed structure of Tb6Al2Co.

Cell lengths 5.906, 8.505, 9.660 Å; angles 90.00, 86.24, 90.00 degrees
Fractional positions:
Tb  0.095  0.028  0.757
Tb  0.405  0.528  0.743
Tb  0.101  0.329  0.059
Tb  0.601  0.171  0.559
Tb  0.900  0.684  0.555
Tb  0.905  0.972  0.243
Tb  0.899  0.671  0.941
Tb  0.399  0.829  0.441
Tb  0.400  0.816  0.055
Tb  0.595  0.472  0.257
Tb  0.600  0.184  0.945
Tb  0.100  0.316  0.445
Co  0.000  0.000  0.500
Co  0.500  0.500  0.000
Al  0.919  0.376  0.755
Al  0.419  0.124  0.255
Al  0.581  0.876  0.745
Al  0.081  0.624  0.245

Computed properties:
M_tot	0.0	μB/f.u.
DOS(E_F)	19.37	states/eV/cell
space-group type	P2_1/c, No. 14
crystal system	monoclinic
formation energy	-0.16	eV/atom

=====

(7)
Density functional theory data (PBE) for a relaxed structure of ScCl.

Cell lengths 3.422, 11.501, 6.605 Å; angles 90.00, 90.00, 90.00 degrees
Site moments in Bohr magnetons follow the coordinates.
Fractional positions:
Sc  0.000  0.874  0.927  0.44
Sc  0.000  0.626  0.427  0.44
Sc  0.000  0.126  0.927  0.44
Sc  0.500  0.000  0.589  0.13
Sc  0.000  0.374  0.427  0.44
Sc  0.500  0.500  0.089  0.13
Cl  0.500  0.228  0.644  0.00
Cl  0.000  0.000  0.271  0.00
Cl  0.500  0.272  0.144  0.00
Cl  0.500  0.728  0.144  0.00
Cl  0.500  0.772  0.644  0.00
Cl  0.000  0.500  0.771  0.00

Computed properties:
M_tot	0.5	μB/f.u.
formation energy (no corrections)	-1.2186	eV/atom
DOS(E_F)	8.45	states/eV/cell
space-group type	Amm2, No. 38
crystal system	orthorhombic

=====

(8)
Density functional theory data (PBE) for a relaxed structure of VC3N.

Cell lengths 3.407, 3.407, 3.407 Å; angles 90.00, 90.00, 90.00 degrees
Fractional positions:
C  0.000  0.000  0.500
C  0.500  0.000  0.000
C  0.000  0.500  0.000
N  0.000  0.000  0.000
V  0.500  0.500  0.500

Computed properties:
M_tot	0.0	μB/f.u.
formation energy (no corrections)	2.7063	eV/atom
DOS(E_F)	2.12	states/eV/cell
relative energy among the computed polymorphs	0	meV/atom
space-group type	Pm-3m, No. 221
crystal system	cubic

=====

(9)
Density functional theory data (PBE) for a relaxed structure of SrZr5.

Cell lengths 6.463, 6.463, 7.794 Å; angles 76.55, 76.55, 29.17 degrees
Fractional positions:
Zr  0.315  0.315  0.351
Zr  0.673  0.673  0.658
Zr  0.056  0.056  0.401
Zr  0.735  0.735  0.051
Zr  0.387  0.387  0.700
Sr  0.000  0.000  0.007

Computed properties:
M_tot	0.0	μB/f.u.
DOS(E_F)	8.24	states/eV/cell
space-group type	Cm, No. 8
crystal system	monoclinic
formation energy	0.28	eV/atom

=====

(10)
Density functional theory data (PBE) for a relaxed structure of Tb4Hg2AsSe.

Cell lengths 4.019, 6.912, 8.025 Å; angles 106.85, 90.00, 90.00 degrees
Fractional positions:
Tb  0.000  0.745  0.224
Tb  0.500  0.237  0.222
Tb  0.000  0.255  0.776
Tb  0.500  0.763  0.778
As  0.000  0.000  0.000
Hg  0.000  0.500  0.500
Hg  0.500  0.000  0.500
Se  0.500  0.500  0.000

Computed properties:
M_tot	0.0	μB/f.u.
formation energy (no corrections)	-1.0374	eV/atom
DOS(E_F)	4.02	states/eV/cell
space-group type	P2/m, No. 10
crystal system	monoclinic

=====

(11)
Density functional theory data (PBE) for a relaxed structure of As4Os5.

Cell lengths 7.262, 7.262, 7.262 Å; angles 92.26, 92.26, 157.07 degrees
Fractional positions:
Os  0.656  0.656  0.313
Os  0.000  0.000  0.000
Os  0.344  0.344  0.687
Os  0.656  0.344  0.000
Os  0.344  0.656  0.000
As  0.305  0.000  0.305
As  0.695  0.000  0.695
As  0.000  0.695  0.695
As  0.000  0.305  0.305

Computed properties:
M_tot	0.0	μB/f.u.
DOS(E_F)	6.38	states/eV/cell
relative energy among the computed polymorphs	0	meV/atom
space-group type	I4/mmm, No. 139
crystal system	tetragonal
formation energy	0.44	eV/atom

=====

(12)
Density functional theory data (PBE) for a relaxed structure of Pm3Nd4PuSe8.

Cell lengths 8.412, 8.418, 8.410 Å; angles 119.96, 120.01, 90.00 degrees
Site moments in Bohr magnetons follow the coordinates.
Fractional positions:
Se  0.247  0.745  0.495  -0.02
Se  0.751  0.745  0.998  -0.02
Se  0.753  0.255  0.505  -0.02
Se  0.249  0.255  0.002  -0.02
Se  0.247  0.745  0.998  -0.02
Se  0.749  0.747  0.498  0.00
Se  0.753  0.255  0.002  -0.02
Se  0.251  0.253  0.502  0.00
Nd  0.500  0.000  0.500  0.02
Nd  0.000  0.000  0.500  0.02
Nd  0.000  0.000  0.000  0.02
Nd  0.500  0.000  0.000  -0.05
Pm  0.000  0.500  0.500  0.02
Pm  0.500  0.500  0.000  0.02
Pm  0.500  0.500  0.500  0.02
Pu  0.000  0.500  0.000  5.45

Computed properties:
M_tot	5.8	μB/f.u.
formation energy (no corrections)	-1.8067	eV/atom
DOS(E_F)	14.88	states/eV/cell
space-group type	R-3m, No. 166
crystal system	trigonal